GGA-PBE TlOs2Pt, relaxed; calculated formation energy = 0.644 eV per atom; energy above the most stable polymorph in this dataset = 258 meV per atom
1.0
-3.765 2.290 1.860
-4.480 -0.466 1.610
0.817 -0.685 5.224
Pt Os Tl
1 2 1
Direct
0.750 0.750 0.750
0.001 0.001 0.955
0.499 0.499 0.545
0.250 0.250 0.250